VASP calculation (PBE) on RbPrCdF6 after structural relaxation.

Unit cell a=8.6987 b=8.2473 c=8.5342 alpha=118.89 beta=120.64 gamma=90.00
With the nearest neighbours (Å) after each atom.
Element x y z (fractional)
F (0.5395, 0.8991, 0.7239)  1 Cd 2.30, 1 Pr 2.31
F (0.1845, 0.8991, 0.7239)  1 Cd 2.30, 1 Pr 2.31
F (0.4605, 0.6752, 0.2761)  1 Cd 2.30, 1 Pr 2.31
F (0.5395, 0.3248, 0.7239)  1 Cd 2.30, 1 Pr 2.31
F (0.1845, 0.3248, 0.7239)  1 Cd 2.30, 1 Pr 2.31
F (0.1793, 0.9293, 0.3585)  2 Pr 2.34
F (0.4605, 0.1009, 0.2761)  1 Cd 2.30, 1 Pr 2.31
F (0.8155, 0.6752, 0.2761)  1 Cd 2.30, 1 Pr 2.31
F (0.8155, 0.1009, 0.2761)  1 Cd 2.30, 1 Pr 2.31
F (0.5565, 0.3065, 0.1129)  2 Cd 2.17
F (0.4435, 0.6935, 0.8871)  2 Cd 2.17
F (0.8207, 0.0707, 0.6415)  2 Pr 2.34
Pr (0.0000, 0.0000, 0.5000)  6 F 2.31-2.34
Pr (0.5000, 0.0000, 0.5000)  6 F 2.31-2.34
Cd (0.5000, 0.5000, 0.0000)  6 F 2.17-2.30
Cd (0.5000, 0.0000, 0.0000)  6 F 2.17-2.30
Rb (0.7750, 0.5250, 0.5501)  1 F 2.66
Rb (0.2250, 0.4750, 0.4499)  1 F 2.66

Calculated values
E_form (uncorrected) = -27.78 eV/f.u.